No. 1
VASP calculation (PBE) on crystalline Sr2CaAc at its relaxed geometry. Values from VASP.

```
&SYSTEM
  ibrav = 0, nat = 4, ntyp = 3
/
ATOMIC_SPECIES
Sr 87.62 Sr.upf
Ac 227.00 Ac.upf
Ca 40.08 Ca.upf
CELL_PARAMETERS angstrom
-1.7854 -3.1457 -2.7901
-2.2877 -1.8166 3.5120
-7.0990 5.5736 -1.7413
ATOMIC_POSITIONS crystal
Sr 0.0000 0.0000 0.7437
Sr 0.0000 0.0000 0.2563
Ac 0.5000 0.5000 0.0000
Ca 0.5000 0.5000 0.5000
```

Properties
Energy relative to the lowest polymorph listed for this composition   0.031 eV/atom
M_tot   0.00 μB per formula unit



No. 2
VASP calculation (PBE) on crystalline Sr8Ca6Ac at its relaxed geometry. Values from VASP.

```
&SYSTEM
  ibrav = 0, nat = 15, ntyp = 3
/
ATOMIC_SPECIES
Sr 87.62 Sr.upf
Ca 40.08 Ca.upf
Ac 227.00 Ac.upf
CELL_PARAMETERS angstrom
10.2096 0.0000 0.0000
0.0000 8.1851 -4.7257
0.0000 0.0000 9.4513
ATOMIC_POSITIONS crystal
Sr 0.8123 0.1005 0.3184
Sr 0.8123 0.6816 0.7821
Sr 0.8123 0.2179 0.8995
Sr 0.1877 0.8995 0.6816
Sr 0.1877 0.3184 0.2179
Sr 0.1877 0.7821 0.1005
Sr 0.0963 0.3333 0.6667
Sr 0.9037 0.6667 0.3333
Ca 0.5805 0.6964 0.1222
Ca 0.5805 0.8778 0.5742
Ca 0.5805 0.4258 0.3036
Ca 0.4195 0.3036 0.8778
Ca 0.4195 0.1222 0.4258
Ca 0.4195 0.5742 0.6964
Ac 0.5000 0.0000 0.0000
```

Properties
M_tot   0.00 μB per formula unit



No. 3
VASP calculation (PBE) on crystalline Sr2Ca8Ac at its relaxed geometry. Values from VASP.

```
&SYSTEM
  ibrav = 0, nat = 11, ntyp = 3
/
ATOMIC_SPECIES
Sr 87.62 Sr.upf
Ca 40.08 Ca.upf
Ac 227.00 Ac.upf
CELL_PARAMETERS angstrom
6.4810 -1.3728 -1.2410
-2.7780 8.7511 -5.9026
-1.6162 -0.8301 10.7629
ATOMIC_POSITIONS crystal
Sr 0.0000 0.3171 0.6829
Sr 0.0000 0.6829 0.3171
Ca 0.7699 0.8961 0.6433
Ca 0.7699 0.6433 0.8961
Ca 0.2428 0.5006 0.5006
Ca 0.5000 0.8004 0.1996
Ca 0.5000 0.1996 0.8004
Ca 0.7572 0.4994 0.4994
Ca 0.2301 0.3567 0.1039
Ca 0.2301 0.1039 0.3567
Ac 0.5000 0.0000 0.0000
```

Properties
Energy relative to the lowest polymorph listed for this composition   0.000 eV/atom
M_tot   0.00 μB per formula unit



No. 4
VASP calculation (PBE) on crystalline SrCa14Ac at its relaxed geometry. Values from VASP.

```
&SYSTEM
  ibrav = 0, nat = 16, ntyp = 3
/
ATOMIC_SPECIES
Sr 87.62 Sr.upf
Ca 40.08 Ca.upf
Ac 227.00 Ac.upf
CELL_PARAMETERS angstrom
-2.3235 -2.9004 6.9144
4.8966 -4.1300 -4.5372
10.0421 5.6125 5.7287
ATOMIC_POSITIONS crystal
Sr 0.0428 0.9572 0.5000
Ca 0.2086 0.7914 0.0000
Ca 0.7089 0.2911 0.0000
Ca 0.0413 0.4577 0.5000
Ca 0.2072 0.2925 0.0000
Ca 0.5423 0.9587 0.5000
Ca 0.7075 0.7928 0.0000
Ca 0.3773 0.1262 0.7531
Ca 0.3773 0.1262 0.2469
Ca 0.8738 0.6227 0.7531
Ca 0.8738 0.6227 0.2469
Ca 0.3747 0.6253 0.7494
Ca 0.3747 0.6253 0.2506
Ca 0.8741 0.1259 0.7513
Ca 0.8741 0.1259 0.2487
Ac 0.5417 0.4583 0.5000
```

Properties
M_tot   0.00 μB per formula unit



No. 5
VASP calculation (PBE) on crystalline SrCaAc2 at its relaxed geometry. Values from VASP.

```
&SYSTEM
  ibrav = 0, nat = 4, ntyp = 3
/
ATOMIC_SPECIES
Sr 87.62 Sr.upf
Ac 227.00 Ac.upf
Ca 40.08 Ca.upf
CELL_PARAMETERS angstrom
-2.8548 2.2249 -1.5127
-2.1112 -1.3136 -3.0340
-10.9112 -5.4888 7.4330
ATOMIC_POSITIONS crystal
Sr 0.0000 0.0000 0.0000
Ac 0.0907 0.0907 0.7280
Ac 0.9093 0.9093 0.2720
Ca 0.5000 0.5000 0.5000
```

Properties
Energy relative to the lowest polymorph listed for this composition   0.159 eV/atom
M_tot   0.00 μB per formula unit



No. 6
VASP calculation (PBE) on crystalline Sr6Ca5Ac at its relaxed geometry. Values from VASP.

```
&SYSTEM
  ibrav = 0, nat = 12, ntyp = 3
/
ATOMIC_SPECIES
Sr 87.62 Sr.upf
Ca 40.08 Ca.upf
Ac 227.00 Ac.upf
CELL_PARAMETERS angstrom
5.5360 -0.0053 -1.7797
-3.6819 9.9303 -1.9837
0.3941 -0.9315 10.7275
ATOMIC_POSITIONS crystal
Sr 0.2500 0.0835 0.4166
Sr 0.7500 0.5834 0.9165
Sr 0.7517 0.2517 0.2517
Sr 0.2483 0.7483 0.7483
Sr 0.2500 0.4166 0.0835
Sr 0.7500 0.9165 0.5834
Ca 0.5000 0.1665 0.8335
Ca 0.0000 0.3328 0.6672
Ca 0.5000 0.5000 0.5000
Ca 0.0000 0.6672 0.3328
Ca 0.5000 0.8335 0.1665
Ac 0.0000 0.0000 0.0000
```

Properties
M_tot   0.47 μB per formula unit



| no. | energy of formation from the pure elements (meV per atom) |
| --- | --- |
| 1 | 80 |
| 2 | 127 |
| 3 | 141 |
| 4 | 20 |
| 5 | 180 |
| 6 | 45 |